# Na2MnSeO4

A relaxed structure of Na2MnSeO4 (GGA+U, the Alexandria database).

Structure (POSCAR):
```
Na2MnSeO4
1.0
5.518 -0.238 -0.365
-2.567 4.890 0.365
-2.567 -1.634 4.624
O Mn Na Se
4 1 2 1
Cartesian
-1.899 2.756 3.928
-1.831 -0.120 2.911
3.442 2.360 0.520
1.056 1.040 1.889
0.192 -0.122 3.377
0.000 0.000 0.000
0.192 3.140 1.247
-2.567 1.628 2.495
```

Calculated values
Total DFT energy (no corrections), eV/atom: -5.38